(1)
Entry from OQMD via LeMat-Bulk: Y3Cd3Ga2Hg after structural relaxation (PBE).

size of the total moment	0.001	μB per atom
VASP energy	-3.68	eV per atom
crystal system	hexagonal

Geometry as extended XYZ:
```
9
Lattice="7.3383 0.0000 0.0000 -3.6691 6.3551 0.0000 0.0000 0.0000 4.4342" Properties=species:S:1:pos:R:3 pbc="T T T"
Y -2.1103 3.6551 0.0000
Y 1.5589 2.7000 0.0000
Y 4.2206 0.0000 0.0000
Cd -0.9422 1.6319 2.2171
Cd 1.8843 0.0000 2.2171
Cd 2.7270 4.7233 2.2171
Ga 0.0000 4.2367 2.2171
Ga 3.6691 2.1184 2.2171
Hg 0.0000 0.0000 0.0000
```

(2)
Entry from OQMD via LeMat-Bulk: Mg2AuO4 after structural relaxation (PBE).

VASP energy	-4.97	eV per atom
crystal system	cubic

Geometry as extended XYZ:
```
14
Lattice="0.0000 4.3282 4.3282 4.3282 0.0000 4.3282 4.3282 4.3282 0.0000" Properties=species:S:1:pos:R:3 pbc="T T T"
Mg 0.0000 0.0000 0.0000
Mg 2.1641 2.1641 0.0000
Mg 2.1641 0.0000 2.1641
Mg 0.0000 2.1641 2.1641
Au 3.2462 3.2462 3.2462
Au 5.4103 5.4103 5.4103
O 6.6098 4.2108 4.2108
O 2.0467 2.0467 2.0467
O 4.4457 4.4457 2.0467
O 4.4457 2.0467 4.4457
O 4.2108 6.6098 4.2108
O 4.2108 4.2108 6.6098
O 6.6098 6.6098 6.6098
O 2.0467 4.4457 4.4457
```